[1]
Here is a relaxed LaAl2Pt3 crystal from Alexandria. Energies are from PBE-GGA.

Geometry as POSCAR:
```
LaAl2Pt3
1.0
4.002 0.000 0.000
0.000 5.649 0.000
0.000 -2.824 4.892
Pt La Al
3 1 2
Direct
0.500 0.500 0.000
0.500 0.000 0.500
0.500 0.500 0.500
0.000 0.000 0.000
0.000 0.667 0.333
0.000 0.333 0.667
```

Computed properties:
DOS at the Fermi energy = 2.68 states/eV/f.u.
energy relative to the elements = -1.121 eV/atom


[2]
Here is a relaxed LaAl3Pt crystal from Alexandria. Energies are from PBE-GGA.

Geometry as POSCAR:
```
LaAl3Pt
1.0
4.829 0.000 0.000
0.000 4.829 0.000
0.000 0.000 4.829
La Al Pt
1 3 1
Direct
0.500 0.500 0.500
0.000 0.500 0.000
0.500 0.000 0.000
0.000 0.000 0.500
0.000 0.000 0.000
```

Computed properties:
DOS at the Fermi energy = 4.15 states/eV/f.u.
energy relative to the elements = -0.453 eV/atom


Q: The lowest DOS at the Fermi energy belongs to which entry?
A: LaAl2Pt3